Record 1
This record from Alexandria via LeMat-Bulk describes an optimized crystal structure of NaErW2O8. The functional is PBE with a Hubbard U.

Cell lengths 7.399, 7.399, 6.599 Å; angles 90.00, 90.00, 90.00 degrees
Space group I-4m2 (No. 119)
Symmetry-distinct sites (fractional):
Na 0.000 0.000 0.000 (multiplicity 2)
Er 0.000 0.500 0.750 (multiplicity 2)
W 0.000 0.000 0.500 (multiplicity 2)
W 0.000 0.500 0.250 (multiplicity 2)
O 0.000 0.200 0.659 (multiplicity 8)
O 0.000 0.314 0.071 (multiplicity 8)

DFT total energy: -7.307 eV per atom
M_tot: 0.00 μB per atom
Calculated volume: 15.1 A^3/atom
DOS at the Fermi energy: 0.000 states/eV per atom

***

Record 2
This record from Alexandria via LeMat-Bulk describes an optimized crystal structure of Na2ErW3O12. The functional is PBE with a Hubbard U.

Cell lengths 7.4963, 7.4963, 18.8705 Å; angles 90.00, 90.00, 120.00 degrees
Space group R-3m (No. 166, hexagonal axes)
Symmetry-distinct sites (fractional):
Na 0.0000 0.0000 0.1973 (multiplicity 6)
Er 0.0000 0.0000 0.5000 (multiplicity 3)
W 0.0000 0.5000 0.0000 (multiplicity 9)
O 0.0436 0.5218 0.1002 (multiplicity 18)
O 0.0919 0.5459 0.3456 (multiplicity 18)

DFT total energy: -7.003 eV per atom
M_tot: 0.05 μB per atom
Calculated volume: 17.0 A^3/atom
DOS at the Fermi energy: 0.584 states/eV per atom

***

Record 3
This record from Alexandria via LeMat-Bulk describes an optimized crystal structure of NaErWO5. The functional is PBE with a Hubbard U.

Cell lengths 7.171, 10.146, 7.950 Å; angles 90.00, 112.57, 90.00 degrees
Space group C2/c (No. 15)
Symmetry-distinct sites (fractional):
Na 0.000 0.205 0.250 (multiplicity 4)
Er 0.000 0.500 0.000 (multiplicity 4)
W 0.000 0.191 0.750 (multiplicity 4)
O 0.000 0.423 0.250 (multiplicity 4)
O 0.125 0.296 0.640 (multiplicity 8)
O 0.179 0.087 0.923 (multiplicity 8)

DFT total energy: -7.140 eV per atom
M_tot: 0.00 μB per atom
Calculated volume: 16.7 A^3/atom
DOS at the Fermi energy: 0.000 states/eV per atom

***

Which of these has the highest DOS at the Fermi energy? Na2ErW3O12

***

Which of these has the highest DOS at the Fermi energy? Na2ErW3O12

***

Which of these has the lowest calculated volume? NaErW2O8